The following is a DFT calculation (GGA-PBE) of a relaxed Y2TmMg3Al2Hg crystal.

Computed properties:
The symmetry is Amm2 (38). As for the total energy: -33.2 eV per cell. As for the total magnetization: 0.00 μB/atom.

Unit cell a=4.502 b=7.377 c=7.377 alpha=119.68 beta=90.00 gamma=90.00
Fractional positions:
Al 0.500 0.664 0.334
Al 0.500 0.334 0.664
Hg 0.000 0.004 0.004
Mg 0.500 0.245 0.000
Mg 0.500 0.000 0.245
Mg 0.500 0.755 0.755
Tm 0.000 0.425 0.425
Y 0.000 0.999 0.573
Y 0.000 0.573 0.999

***

The following is a DFT calculation (GGA-PBE) of a relaxed NbMo2Os2 crystal.

Computed properties:
Its formation energy is 0.42 eV/atom. The symmetry is I4/mmm (139). The value obtained for the energy above the most stable polymorph in this dataset is 0.0 meV/atom. As for the total energy: -52.1 eV per cell. As for the total magnetization: 0.00 μB/atom.

Unit cell a=4.044 b=4.044 c=6.160 alpha=109.16 beta=109.16 gamma=90.00
Fractional positions:
Mo 0.750 0.250 0.500
Mo 0.250 0.750 0.500
Nb 0.000 0.000 0.000
Os 0.609 0.609 0.219
Os 0.391 0.391 0.781